Record 1
! HoMnPdAu | Alexandria via LeMat-Bulk | PBE | optimized geometry; values from VASP
! Mass density, kg/m³: 11355
! Space-group type: No. 216
! DFT formation energy, eV/atom: -0.4933
&SYSTEM
  ibrav = 0, nat = 4, ntyp = 4
/
ATOMIC_SPECIES
Ho 164.93 Ho.upf
Mn 54.94 Mn.upf
Pd 106.42 Pd.upf
Au 196.97 Au.upf
CELL_PARAMETERS angstrom
0.000 3.370 3.370
3.370 0.000 3.370
3.370 3.370 0.000
ATOMIC_POSITIONS crystal
Ho 0.000 0.000 0.000
Mn 0.500 0.500 0.500
Pd 0.750 0.750 0.750
Au 0.250 0.250 0.250

***

Record 2
! La12Y6Er | Alexandria via LeMat-Bulk | PBE | optimized geometry; values from VASP
! Mass density, kg/m³: 5725
! Space-group type: No. 148
! DFT formation energy, eV/atom: 0.2237
&SYSTEM
  ibrav = 0, nat = 19, ntyp = 3
/
ATOMIC_SPECIES
La 138.91 La.upf
Y 88.91 Y.upf
Er 167.26 Er.upf
CELL_PARAMETERS angstrom
7.497 4.328 3.527
-7.497 4.328 3.527
0.000 -8.657 3.527
ATOMIC_POSITIONS crystal
La 0.114 0.287 0.817
La 0.183 0.886 0.713
La 0.191 0.494 0.590
La 0.287 0.817 0.114
La 0.410 0.809 0.506
La 0.494 0.590 0.191
La 0.506 0.410 0.809
La 0.590 0.191 0.494
La 0.713 0.183 0.886
La 0.809 0.506 0.410
La 0.817 0.114 0.287
La 0.886 0.713 0.183
Y 0.093 0.434 0.195
Y 0.195 0.093 0.434
Y 0.434 0.195 0.093
Y 0.566 0.805 0.907
Y 0.805 0.907 0.566
Y 0.907 0.566 0.805
Er 0.000 0.000 0.000

***

Record 3
! Dy5Er2Sb4 | Alexandria via LeMat-Bulk | PBE | optimized geometry; values from VASP
! Mass density, kg/m³: 8140
! Space-group type: No. 12
! Uncorrected formation energy, eV/atom: -0.388
&SYSTEM
  ibrav = 0, nat = 11, ntyp = 3
/
ATOMIC_SPECIES
Dy 162.50 Dy.upf
Er 167.26 Er.upf
Sb 121.76 Sb.upf
CELL_PARAMETERS angstrom
12.278 -1.709 0.000
12.278 1.709 0.000
-0.371 0.000 7.941
ATOMIC_POSITIONS crystal
Dy 0.000 0.000 0.000
Dy 0.321 0.321 0.506
Dy 0.348 0.348 0.023
Dy 0.652 0.652 0.977
Dy 0.679 0.679 0.494
Er 0.448 0.448 0.339
Er 0.552 0.552 0.661
Sb 0.234 0.234 0.216
Sb 0.430 0.430 0.721
Sb 0.570 0.570 0.279
Sb 0.766 0.766 0.784

***

Record 4
! Tb2Dy3N4 | Alexandria via LeMat-Bulk | PBE | optimized geometry; values from VASP
! Mass density, kg/m³: 9424
! Space-group type: No. 12
! Uncorrected formation energy, eV/atom: -1.501
&SYSTEM
  ibrav = 0, nat = 9, ntyp = 3
/
ATOMIC_SPECIES
Tb 158.93 Tb.upf
Dy 162.50 Dy.upf
N 14.01 N.upf
CELL_PARAMETERS angstrom
5.815 -1.746 0.000
5.815 1.746 0.000
-4.284 0.000 7.474
ATOMIC_POSITIONS crystal
Tb 0.106 0.106 0.388
Tb 0.894 0.894 0.612
Dy 0.295 0.295 0.189
Dy 0.500 0.500 0.000
Dy 0.705 0.705 0.811
N 0.103 0.103 0.903
N 0.301 0.301 0.698
N 0.699 0.699 0.302
N 0.897 0.897 0.097

***

Record 5
! GaCoAg2Ge | Alexandria via LeMat-Bulk | PBE | optimized geometry; values from VASP
! Mass density, kg/m³: 6599
! Space-group type: No. 123
! DFT formation energy, eV/atom: 0.6771
! Excess energy over the best structure of this formula in the dataset, kJ/mol of formula units: 0
&SYSTEM
  ibrav = 0, nat = 5, ntyp = 4
/
ATOMIC_SPECIES
Ga 69.72 Ga.upf
Co 58.93 Co.upf
Ag 107.87 Ag.upf
Ge 72.64 Ge.upf
CELL_PARAMETERS angstrom
4.857 0.000 0.000
0.000 4.857 0.000
0.000 0.000 4.448
ATOMIC_POSITIONS crystal
Ga 0.000 0.000 0.000
Co 0.000 0.000 0.500
Ag 0.000 0.500 0.500
Ag 0.500 0.000 0.500
Ge 0.500 0.500 0.000

***

Record 6
! Er5Bi2 | Alexandria via LeMat-Bulk | PBE | optimized geometry; values from VASP
! Mass density, kg/m³: 9823
! Space-group type: No. 15
! DFT formation energy, eV/atom: -0.3861
! Excess energy over the best structure of this formula in the dataset, kJ/mol of formula units: 52
&SYSTEM
  ibrav = 0, nat = 14, ntyp = 2
/
ATOMIC_SPECIES
Er 167.26 Er.upf
Bi 208.98 Bi.upf
CELL_PARAMETERS angstrom
8.164 -3.229 0.000
8.164 3.229 0.000
-0.847 0.000 8.042
ATOMIC_POSITIONS crystal
Er 0.096 0.353 0.302
Er 0.176 0.824 0.750
Er 0.277 0.514 0.059
Er 0.353 0.096 0.802
Er 0.486 0.723 0.441
Er 0.514 0.277 0.559
Er 0.647 0.904 0.198
Er 0.723 0.486 0.941
Er 0.824 0.176 0.250
Er 0.904 0.647 0.698
Bi 0.061 0.738 0.410
Bi 0.262 0.939 0.090
Bi 0.738 0.061 0.910
Bi 0.939 0.262 0.590

***

Record 7
! YCuGe2Pt | Alexandria via LeMat-Bulk | PBE | optimized geometry; values from VASP
! Mass density, kg/m³: 9112
! Space-group type: No. 119
! DFT formation energy, eV/atom: -0.6819
&SYSTEM
  ibrav = 0, nat = 5, ntyp = 4
/
ATOMIC_SPECIES
Y 88.91 Y.upf
Cu 63.55 Cu.upf
Ge 72.64 Ge.upf
Pt 195.08 Pt.upf
CELL_PARAMETERS angstrom
-2.071 2.071 5.236
2.071 -2.071 5.236
2.071 2.071 -5.236
ATOMIC_POSITIONS crystal
Y 0.000 0.000 0.000
Cu 0.750 0.250 0.500
Ge 0.383 0.383 0.000
Ge 0.617 0.617 0.000
Pt 0.250 0.750 0.500

***

Record 8
! Y3TeSe3 | Alexandria via LeMat-Bulk | PBE | optimized geometry; values from VASP
! Mass density, kg/m³: 5154
! Space-group type: No. 148
! Uncorrected formation energy, eV/atom: -1.643
! Excess energy over the best structure of this formula in the dataset, kJ/mol of formula units: 58
&SYSTEM
  ibrav = 0, nat = 14, ntyp = 3
/
ATOMIC_SPECIES
Y 88.91 Y.upf
Te 127.60 Te.upf
Se 78.96 Se.upf
CELL_PARAMETERS angstrom
4.154 2.399 6.803
-4.154 2.399 6.803
0.000 -4.797 6.803
ATOMIC_POSITIONS crystal
Y 0.104 0.701 0.478
Y 0.299 0.522 0.896
Y 0.478 0.104 0.701
Y 0.522 0.896 0.299
Y 0.701 0.478 0.104
Y 0.896 0.299 0.522
Te 0.328 0.328 0.328
Te 0.672 0.672 0.672
Se 0.106 0.366 0.837
Se 0.163 0.894 0.634
Se 0.366 0.837 0.106
Se 0.634 0.163 0.894
Se 0.837 0.106 0.366
Se 0.894 0.634 0.163

***

Which of these has the lowest mass density?
Y3TeSe3